No. 1
Computed, not measured: crystalline LuInRhAu at its relaxed geometry at the GGA-PBE level of DFT.

a b c (Å): 4.7726 4.7726 4.7726
angles (deg): 60.00 60.00 60.00
With the nearest neighbours (Å) after each atom.
Fractional coordinates of all 4 atoms:
Lu1 0.7500 0.7500 0.7500  4 Rh 2.92, 4 Au 2.92
Rh1 0.5000 0.5000 0.5000  4 In 2.92, 4 Lu 2.92
Au1 0.0000 0.0000 0.0000  4 Lu 2.92, 4 In 2.92
In1 0.2500 0.2500 0.2500  4 Au 2.92, 4 Rh 2.92

Crystal system: cubic
Fermi-level density of states: 2.67 states/eV per cell
DFT formation energy: -63.1 kJ per mole of atoms


No. 2
Computed, not measured: crystalline LuScInAu at its relaxed geometry at the GGA-PBE level of DFT.

a b c (Å): 5.0273 5.0273 5.0273
angles (deg): 60.00 60.00 60.00
With the nearest neighbours (Å) after each atom.
Fractional coordinates of all 4 atoms:
Sc1 0.2500 0.2500 0.2500  4 In 3.08, 4 Au 3.08
Lu1 0.7500 0.7500 0.7500  4 In 3.08, 4 Au 3.08
Au1 0.0000 0.0000 0.0000  4 Sc 3.08, 4 Lu 3.08
In1 0.5000 0.5000 0.5000  4 Lu 3.08, 4 Sc 3.08

Crystal system: cubic
Fermi-level density of states: 2.29 states/eV per cell
DFT formation energy: -57.5 kJ per mole of atoms


No. 3
Computed, not measured: crystalline SmLuInAu at its relaxed geometry at the GGA-PBE level of DFT.

a b c (Å): 5.2286 5.2286 5.2286
angles (deg): 60.00 60.00 60.00
With the nearest neighbours (Å) after each atom.
Fractional coordinates of all 4 atoms:
Au1 0.0000 0.0000 0.0000  4 Sm 3.20, 4 Lu 3.20
Lu1 0.7500 0.7500 0.7500  4 In 3.20, 4 Au 3.20
In1 0.5000 0.5000 0.5000  4 Sm 3.20, 4 Lu 3.20
Sm1 0.2500 0.2500 0.2500  4 In 3.20, 4 Au 3.20

Crystal system: cubic
Fermi-level density of states: 2.77 states/eV per cell
DFT formation energy: -57.2 kJ per mole of atoms


No. 4
Computed, not measured: crystalline LuInSnAu at its relaxed geometry at the GGA-PBE level of DFT.

a b c (Å): 5.1035 5.1035 5.1035
angles (deg): 60.00 60.00 60.00
With the nearest neighbours (Å) after each atom.
Fractional coordinates of all 4 atoms:
In1 0.0000 0.0000 0.0000  4 Au 3.13, 4 Sn 3.13
Sn1 0.2500 0.2500 0.2500  4 In 3.13, 4 Lu 3.13
Lu1 0.5000 0.5000 0.5000  4 Sn 3.13, 4 Au 3.13
Au1 0.7500 0.7500 0.7500  4 In 3.13, 4 Lu 3.13

Crystal system: cubic
Fermi-level density of states: 4.36 states/eV per cell
DFT formation energy: -30.1 kJ per mole of atoms


No. 5
Computed, not measured: crystalline SrLuInAu at its relaxed geometry at the GGA-PBE level of DFT.

a b c (Å): 5.3385 5.3385 5.3385
angles (deg): 60.00 60.00 60.00
With the nearest neighbours (Å) after each atom.
Fractional coordinates of all 4 atoms:
In1 0.5000 0.5000 0.5000  4 Sr 3.27, 4 Lu 3.27
Lu1 0.7500 0.7500 0.7500  4 In 3.27, 4 Au 3.27
Au1 0.0000 0.0000 0.0000  4 Lu 3.27, 4 Sr 3.27
Sr1 0.2500 0.2500 0.2500  4 In 3.27, 4 Au 3.27

Crystal system: cubic
Fermi-level density of states: 3.15 states/eV per cell
DFT formation energy: -47.4 kJ per mole of atoms


No. 6
Computed, not measured: crystalline LuTiInAu at its relaxed geometry at the GGA-PBE level of DFT.

a b c (Å): 4.9233 4.9233 4.9233
angles (deg): 60.00 60.00 60.00
With the nearest neighbours (Å) after each atom.
Fractional coordinates of all 4 atoms:
Ti1 0.7500 0.7500 0.7500  4 Au 3.01, 4 In 3.01
In1 0.0000 0.0000 0.0000  4 Ti 3.01, 4 Lu 3.01
Au1 0.5000 0.5000 0.5000  4 Lu 3.01, 4 Ti 3.01
Lu1 0.2500 0.2500 0.2500  4 In 3.01, 4 Au 3.01

Crystal system: cubic
Fermi-level density of states: 2.96 states/eV per cell
DFT formation energy: -33.3 kJ per mole of atoms


No. 7
Computed, not measured: crystalline LuTlInAu at its relaxed geometry at the GGA-PBE level of DFT.

a b c (Å): 5.0796 5.0796 5.0796
angles (deg): 60.00 60.00 60.00
With the nearest neighbours (Å) after each atom.
Fractional coordinates of all 4 atoms:
Tl1 0.5000 0.5000 0.5000  4 Lu 3.11, 4 In 3.11
In1 0.2500 0.2500 0.2500  4 Tl 3.11, 4 Au 3.11
Lu1 0.7500 0.7500 0.7500  4 Tl 3.11, 4 Au 3.11
Au1 0.0000 0.0000 0.0000  4 In 3.11, 4 Lu 3.11

Crystal system: cubic
Fermi-level density of states: 1.59 states/eV per cell
DFT formation energy: -32.6 kJ per mole of atoms


No. 8
Computed, not measured: crystalline TmLuInAu at its relaxed geometry at the GGA-PBE level of DFT.

a b c (Å): 5.1342 5.1342 5.1342
angles (deg): 60.00 60.00 60.00
With the nearest neighbours (Å) after each atom.
Fractional coordinates of all 4 atoms:
Tm1 0.2500 0.2500 0.2500  4 In 3.14, 4 Au 3.14
Au1 0.0000 0.0000 0.0000  4 Tm 3.14, 4 Lu 3.14
In1 0.5000 0.5000 0.5000  4 Lu 3.14, 4 Tm 3.14
Lu1 0.7500 0.7500 0.7500  4 In 3.14, 4 Au 3.14

Crystal system: cubic
Fermi-level density of states: 1.59 states/eV per cell
DFT formation energy: -59.7 kJ per mole of atoms


No. 9
Computed, not measured: crystalline LuZnInAu at its relaxed geometry at the GGA-PBE level of DFT.

a b c (Å): 4.8569 4.8569 4.8569
angles (deg): 60.00 60.00 60.00
With the nearest neighbours (Å) after each atom.
Fractional coordinates of all 4 atoms:
Lu1 0.7500 0.7500 0.7500  4 Au 2.97, 4 Zn 2.97
Zn1 0.5000 0.5000 0.5000  4 Lu 2.97, 4 In 2.97
Au1 0.0000 0.0000 0.0000  4 In 2.97, 4 Lu 2.97
In1 0.2500 0.2500 0.2500  4 Zn 2.97, 4 Au 2.97

Crystal system: cubic
Fermi-level density of states: 2.52 states/eV per cell
DFT formation energy: -45.8 kJ per mole of atoms


No. 10
Computed, not measured: crystalline MgIn2Au at its relaxed geometry at the GGA-PBE level of DFT.

a b c (Å): 5.5566 5.5566 5.5566
angles (deg): 133.86 133.86 67.30
With the nearest neighbours (Å) after each atom.
Fractional coordinates of all 4 atoms:
In1 0.0000 0.0000 0.0000  4 In 3.08, 4 Au 3.18, 4 Mg 3.18
In2 0.5000 0.5000 0.0000  4 In 3.08, 4 Mg 3.18, 4 Au 3.18
Au1 0.7500 0.2500 0.5000  4 Mg 3.08, 8 In 3.18
Mg1 0.2500 0.7500 0.5000  4 Au 3.08, 8 In 3.18

Crystal system: tetragonal
Fermi-level density of states: 1.27 states/eV per cell
DFT formation energy: -14.3 kJ per mole of atoms


No. 11
Computed, not measured: crystalline MgIn2Au at its relaxed geometry at the GGA-PBE level of DFT.

a b c (Å): 4.2993 3.3064 6.7127
angles (deg): 74.71 90.00 90.00
With the nearest neighbours (Å) after each atom.
Fractional coordinates of all 4 atoms:
Au1 0.5000 0.9627 0.6903  4 Mg 2.84, 3 In 2.84-2.93
In1 0.0000 0.8215 0.9982  2 Au 2.93, 4 In 3.17, 1 Mg 3.24
In2 0.5000 0.1847 0.2511  1 Au 2.84, 4 In 3.17
Mg1 0.0000 0.5311 0.5604  4 Au 2.84

Crystal system: monoclinic
Fermi-level density of states: 1.11 states/eV per cell
DFT formation energy: -20.0 kJ per mole of atoms


No. 12
Computed, not measured: crystalline MgIn2Au2 at its relaxed geometry at the GGA-PBE level of DFT.

a b c (Å): 4.1755 4.1755 7.2682
angles (deg): 73.31 73.31 90.00
With the nearest neighbours (Å) after each atom.
Fractional coordinates of all 5 atoms:
Au1 0.5999 0.5999 0.8002  1 Au 2.65, 4 In 2.89
Au2 0.4001 0.4001 0.1998  1 Au 2.65, 4 In 2.89
In1 0.2500 0.7500 0.5000  4 Au 2.89, 4 In 2.95
In2 0.7500 0.2500 0.5000  4 Au 2.89, 4 In 2.95
Mg1 0.0000 0.0000 0.0000  8 Au 3.24

Crystal system: tetragonal
Fermi-level density of states: 2.27 states/eV per cell
DFT formation energy: -13.0 kJ per mole of atoms


No. 13
Computed, not measured: crystalline Mg4InAu15 at its relaxed geometry at the GGA-PBE level of DFT.

a b c (Å): 4.1384 4.1384 21.0629
angles (deg): 90.00 90.00 90.00
With the nearest neighbours (Å) after each atom.
Fractional coordinates of all 20 atoms:
Au1 0.0000 0.5000 0.8948  2 Mg 2.92, 8 Au 2.93-3.03, 2 In 3.03
Au2 0.5000 0.5000 0.2041  4 Mg 2.93, 8 Au 2.93-2.94
Au3 0.0000 0.5000 0.3024  8 Au 2.93-2.94, 4 Mg 2.93-2.94
Au4 0.5000 0.0000 0.6976  8 Au 2.93-2.94, 4 Mg 2.93-2.94
Au5 0.5000 0.5000 0.7959  4 Mg 2.93, 8 Au 2.93-2.94
Au6 0.0000 0.5000 0.6976  8 Au 2.93-2.94, 4 Mg 2.93-2.94
Au7 0.5000 0.0000 0.8948  2 Mg 2.92, 8 Au 2.93-3.03, 2 In 3.03
Au8 0.0000 0.5000 0.5000  8 Au 2.93, 4 Mg 2.93
Au9 0.5000 0.0000 0.5000  8 Au 2.93, 4 Mg 2.93
Au10 0.5000 0.5000 0.5985  4 Mg 2.93, 8 Au 2.93-2.94
Au11 0.5000 0.0000 0.1052  2 Mg 2.92, 8 Au 2.93-3.03, 2 In 3.03
Au12 0.5000 0.5000 0.4015  4 Mg 2.93, 8 Au 2.93-2.94
Au13 0.5000 0.0000 0.3024  8 Au 2.93-2.94, 4 Mg 2.93-2.94
Au14 0.5000 0.5000 0.0000  4 In 2.93, 8 Au 3.03
Au15 0.0000 0.5000 0.1052  2 Mg 2.92, 8 Au 2.93-3.03, 2 In 3.03
Mg1 0.0000 0.0000 0.4012  12 Au 2.93
Mg2 0.0000 0.0000 0.2030  12 Au 2.92-2.94
Mg3 0.0000 0.0000 0.5988  12 Au 2.93
Mg4 0.0000 0.0000 0.7970  12 Au 2.92-2.94
In1 0.0000 0.0000 0.0000  12 Au 2.93-3.03

Crystal system: tetragonal
Fermi-level density of states: 5.39 states/eV per cell
DFT formation energy: -32.3 kJ per mole of atoms


No. 14
Computed, not measured: crystalline Mg3InAu2 at its relaxed geometry at the GGA-PBE level of DFT.

a b c (Å): 3.2606 3.2606 11.3343
angles (deg): 90.00 90.00 90.00
With the nearest neighbours (Å) after each atom.
Fractional coordinates of all 6 atoms:
In1 0.5000 0.5000 0.5000  4 In 3.26, 8 Mg 3.30
Mg1 0.0000 0.0000 0.0000  8 Au 2.85
Mg2 0.0000 0.0000 0.2918  4 Au 2.83
Mg3 0.0000 0.0000 0.7082  4 Au 2.83
Au1 0.5000 0.5000 0.1472  8 Mg 2.83-2.85
Au2 0.5000 0.5000 0.8528  8 Mg 2.83-2.85

Crystal system: tetragonal
Fermi-level density of states: 2.25 states/eV per cell
DFT formation energy: -41.9 kJ per mole of atoms


No. 15
Computed, not measured: crystalline MgIn2Au at its relaxed geometry at the GGA-PBE level of DFT.

a b c (Å): 3.5740 3.5746 7.0568
angles (deg): 90.00 90.00 90.00
With the nearest neighbours (Å) after each atom.
Fractional coordinates of all 4 atoms:
In1 0.5000 0.5000 0.2660  1 Au 3.18, 4 Mg 3.18, 4 In 3.25
In2 0.0000 0.0000 0.9771  1 Mg 3.08, 4 Au 3.12, 4 In 3.25
Au1 0.5000 0.5000 0.7167  4 Mg 2.82, 4 In 3.12
Mg1 0.0000 0.0000 0.5402  4 Au 2.82, 1 In 3.08

Crystal system: tetragonal
Fermi-level density of states: 0.97 states/eV per cell
DFT formation energy: -19.1 kJ per mole of atoms


No. 16
Computed, not measured: crystalline Mg4InAu2 at its relaxed geometry at the GGA-PBE level of DFT.

a b c (Å): 4.4217 4.4217 9.9585
angles (deg): 77.17 77.17 60.00
With the nearest neighbours (Å) after each atom.
Fractional coordinates of all 7 atoms:
Mg1 0.8026 0.8026 0.5922  4 Au 2.76-2.82
Mg2 0.1974 0.1974 0.4078  4 Au 2.76-2.82
Mg3 0.3951 0.3951 0.8146  3 Au 2.78
Mg4 0.6049 0.6049 0.1854  3 Au 2.78
In1 0.0000 0.0000 0.0000  2 Au 2.88, 6 Mg 3.11
Au1 0.9001 0.9001 0.2996  7 Mg 2.76-2.82, 1 In 2.88
Au2 0.0999 0.0999 0.7004  7 Mg 2.76-2.82, 1 In 2.88

Crystal system: trigonal
Distance to the lowest polymorph of the same formula: 0.058 eV per atom
Fermi-level density of states: 3.22 states/eV per cell
DFT formation energy: -31.8 kJ per mole of atoms


No. 17
Computed, not measured: crystalline Mg7In2Au2 at its relaxed geometry at the GGA-PBE level of DFT.

a b c (Å): 6.2660 7.0790 6.2660
angles (deg): 90.02 105.67 89.98
With the nearest neighbours (Å) after each atom.
Fractional coordinates of all 11 atoms:
Mg1 0.5000 0.7723 0.5000  2 Au 2.74, 2 In 3.04
Mg2 0.0000 0.0000 0.0000  2 Au 2.77
Mg3 0.5002 0.2712 0.0000  2 Au 2.71, 2 In 3.01
Mg4 0.0000 0.2712 0.4998  2 Au 2.71, 2 In 3.01
Mg5 0.5000 0.2277 0.5000  2 Au 2.74, 2 In 3.04
Mg6 0.0000 0.7288 0.5002  2 Au 2.71, 2 In 3.01
Mg7 0.4998 0.7288 0.0000  2 Au 2.71, 2 In 3.01
Au1 0.2778 0.0001 0.7222  7 Mg 2.71-2.77
Au2 0.7222 0.9999 0.2778  7 Mg 2.71-2.77
In1 0.8105 0.5000 0.8105  1 In 2.87, 6 Mg 3.01-3.04
In2 0.1895 0.5000 0.1895  1 In 2.87, 6 Mg 3.01-3.04

Crystal system: orthorhombic
Fermi-level density of states: 4.23 states/eV per cell
DFT formation energy: -18.3 kJ per mole of atoms


No. 18
Computed, not measured: crystalline Mg8InAu2 at its relaxed geometry at the GGA-PBE level of DFT.

a b c (Å): 4.7452 6.6892 8.3680
angles (deg): 113.60 105.64 89.97
With the nearest neighbours (Å) after each atom.
Fractional coordinates of all 11 atoms:
In1 0.1366 0.9545 0.9090  9 Mg 2.92-3.05
Mg1 0.6362 0.2401 0.9098  2 Au 2.76, 2 Mg 3.02, 2 In 3.04-3.05
Mg2 0.7486 0.9582 0.1339  1 Au 2.76, 2 In 2.96-3.00, 2 Mg 3.00-3.04
Mg3 0.5242 0.7333 0.6833  1 Au 2.76, 2 In 2.96-3.00, 2 Mg 3.00-3.04
Mg4 0.9652 0.0273 0.5716  3 Au 2.91-2.97, 1 In 2.95, 3 Mg 3.02-3.09
Mg5 0.1349 0.5187 0.9089  1 In 2.92, 4 Mg 3.02-3.13
Mg6 0.9315 0.4471 0.5000  3 Au 2.78-2.81, 5 Mg 3.00-3.09
Mg7 0.3080 0.3657 0.2466  3 Au 2.91-2.98, 1 In 2.96, 3 Mg 3.02-3.10
Mg8 0.3412 0.8574 0.3176  3 Au 2.78-2.81, 5 Mg 3.00-3.10
Au1 0.4710 0.2862 0.5845  8 Mg 2.76-2.98
Au2 0.8027 0.6115 0.2347  8 Mg 2.76-2.97

Crystal system: triclinic
Distance to the lowest polymorph of the same formula: 0.000 eV per atom
Fermi-level density of states: 3.43 states/eV per cell
DFT formation energy: -27.3 kJ per mole of atoms


No. 19
Computed, not measured: crystalline Mg3InAu4 at its relaxed geometry at the GGA-PBE level of DFT.

a b c (Å): 4.7373 6.6420 9.4709
angles (deg): 90.00 90.00 90.00
With the nearest neighbours (Å) after each atom.
Fractional coordinates of all 16 atoms:
Au1 0.9994 0.7615 0.2500  6 Mg 2.85-2.94, 2 In 2.94, 1 Au 3.17
Au2 0.0006 0.7615 0.7500  6 Mg 2.85-2.94, 2 In 2.94, 1 Au 3.17
Au3 0.5000 0.2385 0.0000  6 Mg 2.85-2.94, 2 In 2.94, 1 Au 3.17
Au4 0.5000 0.2385 0.5000  6 Mg 2.85-2.94, 2 In 2.94, 1 Au 3.17
Au5 0.5000 0.7615 0.5000  6 Mg 2.85-2.94, 2 In 2.94, 1 Au 3.17
Au6 0.9994 0.2385 0.2500  6 Mg 2.85-2.94, 2 In 2.94, 1 Au 3.17
Au7 0.5000 0.7615 0.0000  6 Mg 2.85-2.94, 2 In 2.94, 1 Au 3.17
Au8 0.0006 0.2385 0.7500  6 Mg 2.85-2.94, 2 In 2.94, 1 Au 3.17
Mg1 0.5005 0.5000 0.7500  8 Au 2.94
Mg2 0.4995 0.5000 0.2500  8 Au 2.94
Mg3 0.5005 0.0000 0.7500  8 Au 2.85
Mg4 0.0000 0.0000 0.5000  8 Au 2.85
Mg5 0.0000 0.0000 0.0000  8 Au 2.85
Mg6 0.4995 0.0000 0.2500  8 Au 2.85
In1 0.0000 0.5000 0.5000  8 Au 2.94
In2 0.0000 0.5000 0.0000  8 Au 2.94

Crystal system: tetragonal
Fermi-level density of states: 4.49 states/eV per cell
DFT formation energy: -48.5 kJ per mole of atoms


No. 20
Computed, not measured: crystalline Mg3InAu12 at its relaxed geometry at the GGA-PBE level of DFT.

a b c (Å): 4.1333 4.1333 16.9778
angles (deg): 90.00 90.00 90.00
With the nearest neighbours (Å) after each atom.
Fractional coordinates of all 16 atoms:
Au1 0.0000 0.5000 0.6231  8 Au 2.92-2.94, 4 Mg 2.94-2.95
Au2 0.5000 0.0000 0.3769  8 Au 2.92-2.94, 4 Mg 2.94-2.95
Au3 0.5000 0.0000 0.1310  8 Au 2.92-3.04, 2 Mg 2.93, 2 In 3.04
Au4 0.5000 0.5000 0.2542  4 Mg 2.92, 8 Au 2.93-2.94
Au5 0.0000 0.5000 0.8690  8 Au 2.92-3.04, 2 Mg 2.93, 2 In 3.04
Au6 0.5000 0.5000 0.7458  4 Mg 2.92, 8 Au 2.93-2.94
Au7 0.5000 0.5000 0.5000  4 Mg 2.92, 8 Au 2.94
Au8 0.0000 0.5000 0.1310  8 Au 2.92-3.04, 2 Mg 2.93, 2 In 3.04
Au9 0.0000 0.5000 0.3769  8 Au 2.92-2.94, 4 Mg 2.94-2.95
Au10 0.5000 0.0000 0.6231  8 Au 2.92-2.94, 4 Mg 2.94-2.95
Au11 0.5000 0.5000 0.0000  4 In 2.92, 8 Au 3.04
Au12 0.5000 0.0000 0.8690  8 Au 2.92-3.04, 2 Mg 2.93, 2 In 3.04
Mg1 0.0000 0.0000 0.7469  12 Au 2.92-2.95
Mg2 0.0000 0.0000 0.2531  12 Au 2.92-2.95
Mg3 0.0000 0.0000 0.5000  12 Au 2.92-2.94
In1 0.0000 0.0000 0.0000  12 Au 2.92-3.04

Crystal system: tetragonal
Fermi-level density of states: 6.76 states/eV per cell
DFT formation energy: -30.1 kJ per mole of atoms